Pa2PO2 after structural relaxation, computed with PBE-GGA.

Cell: 6.182 6.182 6.062 Å, 112.72 112.72 104.04°
Atoms (fractional coordinates):
1 Pa 0.219 0.781 0.000
2 Pa 0.781 0.219 0.000
3 Pa 0.031 0.969 0.500
4 Pa 0.469 0.531 0.500
5 P 0.500 0.500 0.000
6 P 0.750 0.250 0.500
7 O 0.867 0.867 0.735
8 O 0.133 0.133 0.265
9 O 0.117 0.617 0.235
10 O 0.383 0.883 0.765

Values from the calculation:
Formation energy from raw total energies, eV per atom: -2.425
Calculated volume, Å³/f.u.: 87.49
Spin magnetization, μB/f.u.: 0.00


Pa3P3O after structural relaxation, computed with PBE-GGA.

Cell: 5.735 5.735 5.735 Å, 110.01 110.01 110.01°
Atoms (fractional coordinates):
1 Pa 0.628 0.036 0.036
2 Pa 0.036 0.036 0.628
3 Pa 0.036 0.628 0.036
4 P 0.541 0.541 0.131
5 P 0.541 0.131 0.541
6 P 0.131 0.541 0.541
7 O 0.887 0.887 0.887

Values from the calculation:
Formation energy from raw total energies, eV per atom: -1.358
Calculated volume, Å³/f.u.: 142.20
Spin magnetization, μB/f.u.: 0.00


PaP2PbO8 after structural relaxation, computed with PBE-GGA.

Cell: 5.463 5.463 7.460 Å, 90.00 90.00 120.00°
Each line ends with the local moment (μB).
Atoms (fractional coordinates):
1 Pa 0.000 0.000 0.000  1.00
2 P 0.333 0.667 0.722  0.00
3 P 0.667 0.333 0.278  0.00
4 Pb 0.000 0.000 0.500  0.01
5 O 0.180 0.360 0.801  -0.01
6 O 0.180 0.820 0.801  -0.01
7 O 0.640 0.820 0.801  -0.01
8 O 0.360 0.180 0.199  -0.01
9 O 0.667 0.333 0.481  0.00
10 O 0.333 0.667 0.519  0.00
11 O 0.820 0.640 0.199  -0.01
12 O 0.820 0.180 0.199  -0.01

Values from the calculation:
Formation energy from raw total energies, eV per atom: -2.413
Calculated volume, Å³/f.u.: 192.83
Spin magnetization, μB/f.u.: 1.00